# 1
Below is a PBEsol-optimized structure of Ta9VO25, with properties calculated at the meta-GGA SCAN level.

Summary:
- Magnetic moment: 0.000 μB per cell
- V: 950 Å³ per cell
- Crystal system: tetragonal
- Final energy: -25.081 eV per atom
- Formation energy without anion corrections: -3009 meV/atom

Lattice parameters (Å, degrees): 15.738 15.738 3.835 90.00 90.00 90.00
Space group I-4 (No. 82)
One atom of each set of equivalent atoms:
Ta 0.000 0.000 0.000 x2
Ta 0.103 0.779 0.999 x8
Ta 0.119 0.324 0.997 x8
V 0.000 0.500 0.250 x2
O 0.000 0.000 0.500 x2
O 0.012 0.279 0.995 x8
O 0.052 0.884 0.000 x8
O 0.057 0.572 0.489 x8
O 0.113 0.747 0.498 x8
O 0.148 0.342 0.502 x8
O 0.177 0.217 0.007 x8



# 2
Below is a PBEsol-optimized structure of TaVO5, with properties calculated at the meta-GGA SCAN level.

Summary:
- Magnetic moment: 0.000 μB per cell
- V: 462 Å³ per cell
- Crystal system: orthorhombic
- Final energy: -19.271 eV per atom
- Formation energy without anion corrections: -2810 meV/atom

Lattice parameters (Å, degrees): 11.912 5.554 6.986 90.00 90.00 90.00
Space group Pnma (No. 62)
One atom of each set of equivalent atoms:
Ta 0.059 0.250 0.158 x4
V 0.154 0.750 0.470 x4
O 0.000 0.000 0.000 x4
O 0.076 0.750 0.676 x4
O 0.124 0.000 0.341 x8
O 0.205 0.250 0.029 x4



# 3
Below is a PBEsol-optimized structure of Ta2VZn2O8, with properties calculated at the meta-GGA SCAN level.

Summary:
- Magnetic moment: 12.001 μB per cell
- V: 578 Å³ per cell
- Crystal system: monoclinic
- Final energy: -20.011 eV per atom
- Formation energy without anion corrections: -2509 meV/atom

Lattice parameters (Å, degrees): 18.844 5.860 5.238 90.00 90.55 90.00
Space group C2/c (No. 15)
One atom of each set of equivalent atoms:
Ta 0.113 0.155 0.260 x8
V 0.000 0.363 0.750 x4
Zn 0.219 0.345 0.768 x8
O 0.056 0.377 0.415 x8
O 0.067 0.121 0.919 x8
O 0.177 0.100 0.566 x8
O 0.193 0.354 0.137 x8